Ba2ZnGaSn6: relaxed, PBE.

```
Ba2ZnGaSn6
1.0
-5.002 -2.541 4.675
0.661 -6.732 2.754
5.703 1.835 12.802
Sn Zn Ba Ga
12 2 4 2
direct
0.653 0.233 0.881
0.767 0.767 0.119
0.347 0.767 0.119
0.233 0.233 0.881
0.665 0.076 0.595
0.335 0.924 0.405
0.076 0.665 0.595
0.665 0.665 0.595
0.233 0.653 0.881
0.335 0.335 0.405
0.924 0.335 0.405
0.767 0.347 0.119
0.000 0.000 0.000
0.500 0.500 0.500
0.889 0.889 0.334
0.710 0.710 0.869
0.111 0.111 0.666
0.290 0.290 0.131
0.569 0.569 0.293
0.431 0.431 0.707
```

Properties
- Space group: No. 166
- Crystal system: trigonal
- Magnetization: 0.000 μB/cell
- Formation energy: -0.230 eV per atom